Material: TcAgSn3
Method: DFT, PBE-GGA
State: relaxed

Its electronic total energy is -4.76 eV/atom. For the formation energy, the calculation gives 0.288 eV per atom. Its relative energy among the computed polymorphs is 0.000 eV per formula unit.

The structure belongs to space group Pm-3m (No. 221); the cell edges are 5.173, 5.173 and 5.173 Å and the angles 90.00°, 90.00° and 90.00°. The asymmetric unit holds Tc at (0.000, 0.000, 0.000), Ag at (0.500, 0.500, 0.500) and Sn at (0.000, 0.000, 0.500).